DFT (PBE-GGA) results for an optimized crystal structure of Cs2HgSeCl.

* DOS(E_F): 0.27 states/eV/atom
* crystal system: tetragonal
* energy: -2.51 eV per atom
* E_form (uncorrected): -100.3 kJ per mole of atoms

a = 6.9982 Å, b = 6.9982 Å, c = 5.3528 Å
α = 90.00°, β = 90.00°, γ = 90.00°
Fractional coordinates of all 5 atoms:
Cs (0.0000, 0.5000, 0.0000)
Cs (0.5000, 0.0000, 0.0000)
Hg (0.0000, 0.0000, 0.5000)
Se (0.0000, 0.0000, 0.0000)
Cl (0.5000, 0.5000, 0.5000)

=====

DFT (PBE-GGA) results for an optimized crystal structure of Pm2Sb3H2Rh5.

* DOS(E_F): 0.87 states/eV/atom
* crystal system: tetragonal
* energy: -5.94 eV per atom

a = 11.8009 Å, b = 11.8009 Å, c = 11.8009 Å
α = 159.46°, β = 159.46°, γ = 29.20°
Fractional coordinates of all 12 atoms:
Pm (0.1942, 0.1942, 0.0000)
Pm (0.8058, 0.8058, 0.0000)
Sb (0.3371, 0.3371, 0.0000)
Sb (0.5000, 0.5000, 0.0000)
Sb (0.6629, 0.6629, 0.0000)
H (0.0803, 0.0803, 0.0000)
H (0.9197, 0.9197, 0.0000)
Rh (0.0000, 0.0000, 0.0000)
Rh (0.0854, 0.5854, 0.5000)
Rh (0.4146, 0.9146, 0.5000)
Rh (0.5854, 0.0854, 0.5000)
Rh (0.9146, 0.4146, 0.5000)

=====

DFT (PBE-GGA) results for an optimized crystal structure of Er3SnSe.

* DOS(E_F): 0.97 states/eV/atom
* crystal system: monoclinic
* energy: -5.09 eV per atom
* E_form (uncorrected): -82.1 kJ per mole of atoms

a = 9.0042 Å, b = 6.5833 Å, c = 10.2551 Å
α = 90.00°, β = 112.64°, γ = 90.00°
Fractional coordinates of all 20 atoms:
Er (0.0472, 0.0937, 0.3281)
Er (0.0472, 0.4063, 0.8281)
Er (0.2008, 0.5836, 0.5324)
Er (0.2008, 0.9164, 0.0324)
Er (0.4057, 0.1836, 0.8284)
Er (0.4057, 0.3164, 0.3284)
Er (0.5943, 0.6836, 0.6716)
Er (0.5943, 0.8164, 0.1716)
Er (0.7992, 0.0836, 0.9676)
Er (0.7992, 0.4164, 0.4676)
Er (0.9528, 0.5937, 0.1719)
Er (0.9528, 0.9063, 0.6719)
Sn (0.3527, 0.6972, 0.8470)
Sn (0.3527, 0.8028, 0.3470)
Sn (0.6473, 0.1972, 0.6530)
Sn (0.6473, 0.3028, 0.1530)
Se (0.0997, 0.2252, 0.6001)
Se (0.0997, 0.2748, 0.1001)
Se (0.9003, 0.7252, 0.8999)
Se (0.9003, 0.7748, 0.3999)

=====

DFT (PBE-GGA) results for an optimized crystal structure of Cs2SnHgF6.

* DOS(E_F): 0.00 states/eV/atom
* crystal system: cubic
* energy: -3.98 eV per atom
* E_form (uncorrected): -217.7 kJ per mole of atoms

a = 6.6826 Å, b = 6.6826 Å, c = 6.6826 Å
α = 60.00°, β = 60.00°, γ = 60.00°
Fractional coordinates of all 10 atoms:
Cs (0.2500, 0.2500, 0.2500)
Cs (0.7500, 0.7500, 0.7500)
Sn (0.0000, 0.0000, 0.0000)
Hg (0.5000, 0.5000, 0.5000)
F (0.2481, 0.2481, 0.7519)
F (0.2481, 0.7519, 0.2481)
F (0.2481, 0.7519, 0.7519)
F (0.7519, 0.2481, 0.2481)
F (0.7519, 0.2481, 0.7519)
F (0.7519, 0.7519, 0.2481)